Record 1
# MgMn3Se | Alexandria | PBE | relaxed
data_MgMn3Se
_cell_length_a 4.7737
_cell_length_b 4.7737
_cell_length_c 4.7737
_cell_angle_alpha 90.00
_cell_angle_beta 90.00
_cell_angle_gamma 90.00
_symmetry_space_group_name_H-M 'P m -3 m'
_symmetry_Int_Tables_number 221
_symmetry_space_group_name_Hall '-P 4 2 3'
loop_
_atom_site_label
_atom_site_type_symbol
_atom_site_fract_x
_atom_site_fract_y
_atom_site_fract_z
_atom_site_occupancy
Mg1 Mg 0.0000 0.0000 0.0000 1
Mn1 Mn 0.0000 0.0000 0.5000 1
Se1 Se 0.5000 0.5000 0.5000 1
# Raw total energy: -5.311 eV/atom
# Uncorrected formation energy: 27.8 kcal/mol of atoms
# Volume: 21.8 A^3/atom
# Spin magnetization: 11.79 μB per cell
# Distance to the lowest polymorph of the same formula: 372 kJ/mol of formula units
# Density of states at the Fermi level: 2.95 states/eV/f.u.

---

Record 2
# HoMg3Tl4 | Alexandria | PBE | relaxed
data_HoMg3Tl4
_cell_length_a 5.0640
_cell_length_b 5.0640
_cell_length_c 7.8238
_cell_angle_alpha 90.00
_cell_angle_beta 90.00
_cell_angle_gamma 90.00
_symmetry_space_group_name_H-M 'P 4/m m m'
_symmetry_Int_Tables_number 123
_symmetry_space_group_name_Hall '-P 4 2'
loop_
_atom_site_label
_atom_site_type_symbol
_atom_site_fract_x
_atom_site_fract_y
_atom_site_fract_z
_atom_site_occupancy
Ho1 Ho 0.0000 0.0000 0.0000 1
Mg1 Mg 0.0000 0.0000 0.5000 1
Mg2 Mg 0.5000 0.5000 0.0000 1
Mg3 Mg 0.5000 0.5000 0.5000 1
Tl1 Tl 0.0000 0.5000 0.2591 1
# Raw total energy: -2.485 eV/atom
# Volume: 25.1 A^3/atom
# Spin magnetization: 0.00 μB per cell
# Density of states at the Fermi level: 2.16 states/eV/f.u.

---

Record 3
# PmSm2Pd3 | Alexandria | PBE | relaxed
data_PmSm2Pd3
_cell_length_a 5.1269
_cell_length_b 15.3808
_cell_length_c 3.5082
_cell_angle_alpha 90.00
_cell_angle_beta 90.00
_cell_angle_gamma 90.00
_symmetry_space_group_name_H-M 'P m m n'
_symmetry_Int_Tables_number 59
loop_
_symmetry_equiv_pos_as_xyz
'x,y,z'
'-x,-y,-z'
'-x+1/2,-y+1/2,z'
'x+1/2,y+1/2,-z'
'x+1/2,-y,-z'
'-x+1/2,y,z'
'-x,y+1/2,-z'
'x,-y+1/2,z'
loop_
_atom_site_label
_atom_site_type_symbol
_atom_site_fract_x
_atom_site_fract_y
_atom_site_fract_z
_atom_site_occupancy
Pm1 Pm 0.2500 0.2500 0.0010 1
Sm1 Sm 0.2500 0.5833 0.0000 1
Pd1 Pd 0.2500 0.0816 0.5008 1
Pd2 Pd 0.2500 0.7500 0.5001 1
# Raw total energy: -5.744 eV/atom
# Volume: 23.1 A^3/atom
# Spin magnetization: 0.00 μB per cell
# Distance to the lowest polymorph of the same formula: 0 kJ/mol of formula units
# Density of states at the Fermi level: 3.62 states/eV/f.u.

---

Record 4
# Er8TmIn6 | Alexandria | PBE | relaxed
data_Er8TmIn6
_cell_length_a 8.9495
_cell_length_b 8.9495
_cell_length_c 19.3498
_cell_angle_alpha 90.00
_cell_angle_beta 90.00
_cell_angle_gamma 120.00
_symmetry_space_group_name_H-M 'R -3'
_symmetry_Int_Tables_number 148
_symmetry_space_group_name_Hall '-R 3'
loop_
_atom_site_label
_atom_site_type_symbol
_atom_site_fract_x
_atom_site_fract_y
_atom_site_fract_z
_atom_site_occupancy
Er1 Er 0.0000 0.0000 0.1666 1
Er2 Er 0.9999 0.3334 0.0541 1
Tm1 Tm 0.0000 0.0000 0.5000 1
In1 In 0.0000 0.3328 0.5602 1
# Raw total energy: -4.023 eV/atom
# Volume: 29.8 A^3/atom
# Spin magnetization: 0.00 μB per cell
# Density of states at the Fermi level: 20.06 states/eV/f.u.

---

Record 5
# Mn2TcRuC | Alexandria | PBE | relaxed
data_Mn2TcRuC
_cell_length_a 3.8050
_cell_length_b 3.8050
_cell_length_c 3.9933
_cell_angle_alpha 90.00
_cell_angle_beta 90.00
_cell_angle_gamma 90.00
_symmetry_space_group_name_H-M 'P 4/m m m'
_symmetry_Int_Tables_number 123
_symmetry_space_group_name_Hall '-P 4 2'
loop_
_atom_site_label
_atom_site_type_symbol
_atom_site_fract_x
_atom_site_fract_y
_atom_site_fract_z
_atom_site_occupancy
Mn1 Mn 0.0000 0.5000 0.0000 1
Tc1 Tc 0.0000 0.0000 0.5000 1
Ru1 Ru 0.5000 0.5000 0.5000 1
C1 C 0.0000 0.0000 0.0000 1
# Raw total energy: -9.277 eV/atom
# Volume: 11.6 A^3/atom
# Spin magnetization: 0.01 μB per cell
# Density of states at the Fermi level: 4.84 states/eV/f.u.

---

Record 6
# AcTbSiIr | Alexandria | PBE | relaxed
data_AcTbSiIr
_cell_length_a 7.3024
_cell_length_b 7.3024
_cell_length_c 7.3024
_cell_angle_alpha 90.00
_cell_angle_beta 90.00
_cell_angle_gamma 90.00
_symmetry_space_group_name_H-M 'F -4 3 m'
_symmetry_Int_Tables_number 216
_symmetry_space_group_name_Hall 'F -4 2 3'
loop_
_atom_site_label
_atom_site_type_symbol
_atom_site_fract_x
_atom_site_fract_y
_atom_site_fract_z
_atom_site_occupancy
Ac1 Ac 0.0000 0.0000 0.0000 1
Tb1 Tb 0.0000 0.0000 0.5000 1
Si1 Si 0.2500 0.2500 0.7500 1
Ir1 Ir 0.2500 0.2500 0.2500 1
# Raw total energy: -6.153 eV/atom
# Uncorrected formation energy: -9.2 kcal/mol of atoms
# Volume: 24.3 A^3/atom
# Spin magnetization: 0.00 μB per cell
# Density of states at the Fermi level: 3.26 states/eV/f.u.